No. 1
# EuEr2

A geometry-optimized EuEr2 structure (PBE, Alexandria).

Calculated values
ΔE to the lowest computed polymorph, eV per atom: 0.000
Symmetry: I4/mmm
Energy relative to the elements, kJ/mol of formula units: 20
D(E_F), states/eV/cell: 4.131
V, Å³ per atom: 33.4
Crystal system: tetragonal

a b c (Å): 8.082 8.082 8.082
angles (deg): 154.17 154.17 36.85
Sites, in units of the cell vectors:
Eu (0.000, 0.000, 0.000)
Er (0.325, 0.325, 0.000)
Er (0.675, 0.675, 0.000)

---

No. 2
# EuEr2

A geometry-optimized EuEr2 structure (PBE, Alexandria).

Calculated values
ΔE to the lowest computed polymorph, eV per atom: 0.167
Symmetry: Fd-3m
Energy relative to the elements, kJ/mol of formula units: 68
D(E_F), states/eV/cell: 10.214
V, Å³ per atom: 36.5
Crystal system: cubic

a b c (Å): 6.767 6.767 6.767
angles (deg): 60.00 60.00 60.00
Sites, in units of the cell vectors:
Eu (0.125, 0.125, 0.125)
Eu (0.875, 0.875, 0.875)
Er (0.000, 0.500, 0.500)
Er (0.500, 0.000, 0.500)
Er (0.500, 0.500, 0.000)
Er (0.500, 0.500, 0.500)

---

No. 3
# Eu2Er

A geometry-optimized Eu2Er structure (PBE, Alexandria).

Calculated values
ΔE to the lowest computed polymorph, eV per atom: 0.223
Symmetry: Fd-3m
Energy relative to the elements, kJ/mol of formula units: 92
D(E_F), states/eV/cell: 9.173
V, Å³ per atom: 37.5
Crystal system: cubic

a b c (Å): 6.830 6.830 6.830
angles (deg): 60.00 60.00 60.00
Sites, in units of the cell vectors:
Eu (0.000, 0.000, 0.000)
Eu (0.000, 0.000, 0.500)
Eu (0.000, 0.500, 0.000)
Eu (0.500, 0.000, 0.000)
Er (0.375, 0.375, 0.375)
Er (0.625, 0.625, 0.625)

---

No. 4
# EuErGa4

A geometry-optimized EuErGa4 structure (PBE, Alexandria).

Calculated values
Symmetry: F-43m
Energy relative to the elements, kJ/mol of formula units: -287
D(E_F), states/eV/cell: 3.499
V, Å³ per atom: 20.4
Crystal system: cubic

a b c (Å): 5.569 5.569 5.569
angles (deg): 60.00 60.00 60.00
Sites, in units of the cell vectors:
Eu (0.000, 0.000, 0.000)
Er (0.250, 0.250, 0.250)
Ga (0.125, 0.625, 0.625)
Ga (0.625, 0.125, 0.625)
Ga (0.625, 0.625, 0.125)
Ga (0.625, 0.625, 0.625)

---

No. 5
# EuEr2Ga

A geometry-optimized EuEr2Ga structure (PBE, Alexandria).

Calculated values
ΔE to the lowest computed polymorph, eV per atom: 0.078
Symmetry: P4/mmm
Energy relative to the elements, kJ/mol of formula units: -63
D(E_F), states/eV/cell: 3.612
V, Å³ per atom: 26.9
Crystal system: tetragonal

a b c (Å): 4.812 4.812 4.654
angles (deg): 90.00 90.00 90.00
Sites, in units of the cell vectors:
Eu (0.000, 0.000, 0.000)
Er (0.000, 0.500, 0.500)
Er (0.500, 0.000, 0.500)
Ga (0.500, 0.500, 0.000)

---

No. 6
# EuErGa

A geometry-optimized EuErGa structure (PBE, Alexandria).

Calculated values
ΔE to the lowest computed polymorph, eV per atom: 0.105
Symmetry: P3m1
Energy relative to the elements, kJ/mol of formula units: -61
D(E_F), states/eV/cell: 2.321
V, Å³ per atom: 27.9
Crystal system: trigonal

a b c (Å): 5.065 5.065 3.769
angles (deg): 90.00 90.00 120.00
Sites, in units of the cell vectors:
Eu (0.000, 0.000, 0.000)
Er (0.333, 0.667, 0.457)
Ga (0.667, 0.333, 0.617)

---

No. 7
# EuEr2Ga

A geometry-optimized EuEr2Ga structure (PBE, Alexandria).

Calculated values
ΔE to the lowest computed polymorph, eV per atom: 0.000
Symmetry: P4/mmm
Energy relative to the elements, kJ/mol of formula units: -94
D(E_F), states/eV/cell: 2.719
V, Å³ per atom: 28.8
Crystal system: tetragonal

a b c (Å): 3.527 3.527 9.261
angles (deg): 90.00 90.00 90.00
Sites, in units of the cell vectors:
Eu (0.000, 0.000, 0.000)
Er (0.500, 0.500, 0.307)
Er (0.500, 0.500, 0.693)
Ga (0.000, 0.000, 0.500)

---

No. 8
# EuErGa

A geometry-optimized EuErGa structure (PBE, Alexandria).

Calculated values
ΔE to the lowest computed polymorph, eV per atom: 0.000
Symmetry: I4mm
Energy relative to the elements, kJ/mol of formula units: -91
D(E_F), states/eV/cell: 2.898
V, Å³ per atom: 28.5
Crystal system: tetragonal

a b c (Å): 6.878 6.878 6.878
angles (deg): 149.09 149.09 44.28
Sites, in units of the cell vectors:
Eu (0.000, 0.000, 0.000)
Er (0.275, 0.275, 0.000)
Ga (0.656, 0.656, 0.000)

---

No. 9
# EuErGa

A geometry-optimized EuErGa structure (PBE, Alexandria).

Calculated values
ΔE to the lowest computed polymorph, eV per atom: 0.145
Symmetry: F-43m
Energy relative to the elements, kJ/mol of formula units: -49
D(E_F), states/eV/cell: 4.237
V, Å³ per atom: 31.0
Crystal system: cubic

a b c (Å): 5.085 5.085 5.085
angles (deg): 60.00 60.00 60.00
Sites, in units of the cell vectors:
Eu (0.000, 0.000, 0.000)
Er (0.500, 0.500, 0.500)
Ga (0.250, 0.250, 0.250)

---

No. 10
# Eu2ErGa

A geometry-optimized Eu2ErGa structure (PBE, Alexandria).

Calculated values
ΔE to the lowest computed polymorph, eV per atom: 0.000
Symmetry: P4/mmm
Energy relative to the elements, kJ/mol of formula units: -57
D(E_F), states/eV/cell: 3.861
V, Å³ per atom: 31.0
Crystal system: tetragonal

a b c (Å): 3.709 3.709 9.018
angles (deg): 90.00 90.00 90.00
Sites, in units of the cell vectors:
Eu (0.000, 0.000, 0.205)
Eu (0.000, 0.000, 0.795)
Er (0.500, 0.500, 0.500)
Ga (0.500, 0.500, 0.000)

---

No. 11
# Eu2ErGa

A geometry-optimized Eu2ErGa structure (PBE, Alexandria).

Calculated values
ΔE to the lowest computed polymorph, eV per atom: 0.113
Symmetry: Fm-3m
Energy relative to the elements, kJ/mol of formula units: -14
D(E_F), states/eV/cell: 2.689
V, Å³ per atom: 29.5
Crystal system: cubic

a b c (Å): 5.507 5.507 5.507
angles (deg): 60.00 60.00 60.00
Sites, in units of the cell vectors:
Eu (0.250, 0.250, 0.250)
Eu (0.750, 0.750, 0.750)
Er (0.000, 0.000, 0.000)
Ga (0.500, 0.500, 0.500)

---

No. 12
# Eu2ErGa

A geometry-optimized Eu2ErGa structure (PBE, Alexandria).

Calculated values
ΔE to the lowest computed polymorph, eV per atom: 0.016
Symmetry: P4/mmm
Energy relative to the elements, kJ/mol of formula units: -51
D(E_F), states/eV/cell: 3.426
V, Å³ per atom: 28.8
Crystal system: tetragonal

a b c (Å): 4.767 4.767 5.065
angles (deg): 90.00 90.00 90.00
Sites, in units of the cell vectors:
Eu (0.000, 0.500, 0.000)
Eu (0.500, 0.000, 0.000)
Er (0.000, 0.000, 0.500)
Ga (0.500, 0.500, 0.500)

---

No. 13
# EuErGaGe

A geometry-optimized EuErGaGe structure (PBE, Alexandria).

Calculated values
Symmetry: F-43m
Energy relative to the elements, kJ/mol of formula units: -202
D(E_F), states/eV/cell: 2.316
V, Å³ per atom: 23.8
Crystal system: cubic

a b c (Å): 5.125 5.125 5.125
angles (deg): 60.00 60.00 60.00
Sites, in units of the cell vectors:
Eu (0.000, 0.000, 0.000)
Er (0.500, 0.500, 0.500)
Ga (0.750, 0.750, 0.750)
Ge (0.250, 0.250, 0.250)

---

No. 14
# EuErGaIr

A geometry-optimized EuErGaIr structure (PBE, Alexandria).

Calculated values
Symmetry: F-43m
Energy relative to the elements, kJ/mol of formula units: -194
D(E_F), states/eV/cell: 5.587
V, Å³ per atom: 21.9
Crystal system: cubic

a b c (Å): 4.988 4.988 4.988
angles (deg): 60.00 60.00 60.00
Sites, in units of the cell vectors:
Eu (0.000, 0.000, 0.000)
Er (0.500, 0.500, 0.500)
Ga (0.250, 0.250, 0.250)
Ir (0.750, 0.750, 0.750)

---

No. 15
# EuErMgGa

A geometry-optimized EuErMgGa structure (PBE, Alexandria).

Calculated values
Symmetry: F-43m
Energy relative to the elements, kJ/mol of formula units: -106
D(E_F), states/eV/cell: 4.568
V, Å³ per atom: 26.0
Crystal system: cubic

a b c (Å): 5.276 5.276 5.276
angles (deg): 60.00 60.00 60.00
Sites, in units of the cell vectors:
Eu (0.000, 0.000, 0.000)
Er (0.500, 0.500, 0.500)
Mg (0.250, 0.250, 0.250)
Ga (0.750, 0.750, 0.750)

---

No. 16
# PrEuErGa

A geometry-optimized PrEuErGa structure (PBE, Alexandria).

Calculated values
Symmetry: F-43m
Energy relative to the elements, kJ/mol of formula units: -26
D(E_F), states/eV/cell: 5.866
V, Å³ per atom: 28.4
Crystal system: cubic

a b c (Å): 5.438 5.438 5.438
angles (deg): 60.00 60.00 60.00
Sites, in units of the cell vectors:
Pr (0.000, 0.000, 0.000)
Eu (0.750, 0.750, 0.750)
Er (0.500, 0.500, 0.500)
Ga (0.250, 0.250, 0.250)

---

No. 17
# EuErGaPt

A geometry-optimized EuErGaPt structure (PBE, Alexandria).

Calculated values
Symmetry: F-43m
Energy relative to the elements, kJ/mol of formula units: -285
D(E_F), states/eV/cell: 5.387
V, Å³ per atom: 22.9
Crystal system: cubic

a b c (Å): 5.062 5.062 5.062
angles (deg): 60.00 60.00 60.00
Sites, in units of the cell vectors:
Eu (0.000, 0.000, 0.000)
Er (0.500, 0.500, 0.500)
Ga (0.250, 0.250, 0.250)
Pt (0.750, 0.750, 0.750)

---

No. 18
# EuErGaRh

A geometry-optimized EuErGaRh structure (PBE, Alexandria).

Calculated values
Symmetry: F-43m
Energy relative to the elements, kJ/mol of formula units: -197
D(E_F), states/eV/cell: 6.124
V, Å³ per atom: 22.2
Crystal system: cubic

a b c (Å): 5.005 5.005 5.005
angles (deg): 60.00 60.00 60.00
Sites, in units of the cell vectors:
Eu (0.000, 0.000, 0.000)
Er (0.500, 0.500, 0.500)
Ga (0.250, 0.250, 0.250)
Rh (0.750, 0.750, 0.750)

---

No. 19
# EuErGaRu

A geometry-optimized EuErGaRu structure (PBE, Alexandria).

Calculated values
Symmetry: F-43m
Energy relative to the elements, kJ/mol of formula units: -91
D(E_F), states/eV/cell: 4.330
V, Å³ per atom: 21.8
Crystal system: cubic

a b c (Å): 4.974 4.974 4.974
angles (deg): 60.00 60.00 60.00
Sites, in units of the cell vectors:
Eu (0.000, 0.000, 0.000)
Er (0.500, 0.500, 0.500)
Ga (0.250, 0.250, 0.250)
Ru (0.750, 0.750, 0.750)

---

No. 20
# EuErTlGa

A geometry-optimized EuErTlGa structure (PBE, Alexandria).

Calculated values
Symmetry: F-43m
Energy relative to the elements, kJ/mol of formula units: -150
D(E_F), states/eV/cell: 5.645
V, Å³ per atom: 26.7
Crystal system: cubic

a b c (Å): 5.326 5.326 5.326
angles (deg): 60.00 60.00 60.00
Sites, in units of the cell vectors:
Eu (0.000, 0.000, 0.000)
Er (0.500, 0.500, 0.500)
Tl (0.750, 0.750, 0.750)
Ga (0.250, 0.250, 0.250)